Computed, not measured: an optimized crystal structure of Ac2BeGe at the PBE level of DFT.

Values from the calculation:
- symmetry = No. 225
- excess energy over the best structure of this formula in the dataset (eV/atom) = 0.012
- DOS at the Fermi energy (states/eV per atom) = 1.112
- total energy (eV/atom) = -4.2316
- formation energy from the elements (meV per atom) = -92
- total magnetization (μB/atom) = 0.0000

Cell: 5.433 5.433 5.433 Å, 60.00 60.00 60.00°
Fractional coordinates of all 4 atoms:
1 Be 0.000 0.000 0.000
2 Ac 0.250 0.250 0.250
3 Ac 0.750 0.750 0.750
4 Ge 0.500 0.500 0.500

Computed, not measured: an optimized crystal structure of Ac2BeGe3 at the PBE level of DFT.

Values from the calculation:
- symmetry = No. 69
- excess energy over the best structure of this formula in the dataset (eV/atom) = 0.000
- DOS at the Fermi energy (states/eV per atom) = 0.350
- total energy (eV/atom) = -4.8947
- formation energy from the elements (meV per atom) = -595
- total magnetization (μB/atom) = 0.0000

Cell: 6.292 6.292 8.416 Å, 109.53 109.53 96.06°
Fractional coordinates of all 12 atoms:
1 Ac 0.750 0.250 0.500
2 Ac 0.757 0.243 0.000
3 Ac 0.250 0.750 0.500
4 Ac 0.243 0.757 0.000
5 Be 0.666 0.666 0.333
6 Be 0.334 0.334 0.667
7 Ge 0.819 0.819 0.175
8 Ge 0.644 0.644 0.825
9 Ge 0.181 0.181 0.825
10 Ge 0.356 0.356 0.175
11 Ge 0.176 0.176 0.352
12 Ge 0.824 0.824 0.648

Computed, not measured: an optimized crystal structure of Ac2BeGe at the PBE level of DFT.

Values from the calculation:
- symmetry = No. 166
- excess energy over the best structure of this formula in the dataset (eV/atom) = 0.592
- DOS at the Fermi energy (states/eV per atom) = 1.508
- total energy (eV/atom) = -3.6513
- formation energy from the elements (meV per atom) = 489
- total magnetization (μB/atom) = 0.0332

Cell: 4.542 4.542 9.955 Å, 76.81 76.81 60.00°
Fractional coordinates of all 4 atoms:
1 Be 0.000 0.000 0.000
2 Ac 0.108 0.108 0.675
3 Ac 0.892 0.892 0.325
4 Ge 0.500 0.500 0.500

Computed, not measured: an optimized crystal structure of Ac3BeGe2 at the PBE level of DFT.

Values from the calculation:
- symmetry = No. 62
- DOS at the Fermi energy (states/eV per atom) = 0.806
- total energy (eV/atom) = -4.7019
- formation energy from the elements (meV per atom) = -488
- total magnetization (μB/atom) = 0.0817

Cell: 4.334 12.748 12.601 Å, 90.00 90.00 90.00°
Fractional coordinates of all 24 atoms:
1 Ac 0.250 0.384 0.076
2 Ac 0.750 0.616 0.924
3 Ac 0.750 0.884 0.424
4 Ac 0.250 0.116 0.576
5 Ac 0.250 0.707 0.194
6 Ac 0.750 0.293 0.806
7 Ac 0.750 0.207 0.306
8 Ac 0.250 0.793 0.694
9 Ac 0.250 0.444 0.388
10 Ac 0.750 0.556 0.612
11 Ac 0.750 0.944 0.112
12 Ac 0.250 0.056 0.888
13 Be 0.250 0.136 0.136
14 Be 0.750 0.864 0.864
15 Be 0.750 0.636 0.364
16 Be 0.250 0.364 0.636
17 Ge 0.250 0.686 0.451
18 Ge 0.750 0.314 0.549
19 Ge 0.750 0.186 0.049
20 Ge 0.250 0.814 0.951
21 Ge 0.250 0.023 0.292
22 Ge 0.750 0.977 0.708
23 Ge 0.750 0.523 0.208
24 Ge 0.250 0.477 0.792

Computed, not measured: an optimized crystal structure of Ac2BeGe5 at the PBE level of DFT.

Values from the calculation:
- symmetry = No. 107
- DOS at the Fermi energy (states/eV per atom) = 0.350
- total energy (eV/atom) = -4.6987
- formation energy from the elements (meV per atom) = -320
- total magnetization (μB/atom) = 0.0000

Cell: 6.628 6.628 6.628 Å, 85.08 122.88 122.88°
Fractional coordinates of all 8 atoms:
1 Ac 0.500 0.273 0.773
2 Ac 0.500 0.773 0.273
3 Be 0.000 0.915 0.915
4 Ge 0.513 0.777 0.777
5 Ge 0.000 0.777 0.264
6 Ge 0.000 0.264 0.777
7 Ge 0.487 0.264 0.264
8 Ge 0.000 0.180 0.180

Computed, not measured: an optimized crystal structure of AcBeGeH at the PBE level of DFT.

Values from the calculation:
- symmetry = No. 156
- total energy (eV/atom) = -4.5475
- total magnetization (μB/atom) = 0.0000

Cell: 4.191 4.191 4.572 Å, 90.00 90.00 120.00°
Fractional coordinates of all 4 atoms:
1 Ac 0.905 0.810 0.784
2 Be 0.239 0.477 0.240
3 Ge 0.572 0.144 0.306
4 H 0.239 0.477 0.910